(i)
Crystalline SrIn2Mo at its relaxed geometry. Source: the Alexandria database, functional PBE.

Lattice parameters (Å, degrees): 3.748 3.748 7.767 90.00 90.00 90.00
Space group P4mm (No. 99)
One atom of each set of equivalent atoms:
Sr: 0.000 0.000 0.000 x1
In: 0.000 0.000 0.584 x1
In: 0.500 0.500 0.329 x1
Mo: 0.500 0.500 0.691 x1


(ii)
Crystalline SrIn2Mo at its relaxed geometry. Source: the Alexandria database, functional PBE.

Lattice parameters (Å, degrees): 6.416 9.350 3.111 90.00 90.13 90.00
Space group C2/m (No. 12)
One atom of each set of equivalent atoms:
Sr: 0.000 0.000 0.000 x2
In: 0.250 0.250 0.500 x4
Mo: 0.000 0.500 0.000 x2


(iii)
Crystalline SrIn2Mo at its relaxed geometry. Source: the Alexandria database, functional PBE.

Lattice parameters (Å, degrees): 7.531 7.531 7.531 90.00 90.00 90.00
Space group F-43m (No. 216)
One atom of each set of equivalent atoms:
Sr: 0.000 0.000 0.000 x4
In: 0.000 0.000 0.500 x4
In: 0.250 0.250 0.250 x4
Mo: 0.250 0.250 0.750 x4


(iv)
Crystalline SrIn2Mo at its relaxed geometry. Source: the Alexandria database, functional PBE.

Lattice parameters (Å, degrees): 4.693 4.693 4.635 90.00 90.00 90.00
Space group P4/mmm (No. 123)
One atom of each set of equivalent atoms:
Sr: 0.000 0.000 0.000 x1
In: 0.000 0.500 0.500 x2
Mo: 0.500 0.500 0.000 x1


Most stable structure, least stable structure: (i), (iii).


(i)
Crystalline SrInMo at its relaxed geometry. Source: the Alexandria database, functional PBE.

Lattice parameters (Å, degrees): 7.376 7.376 7.376 90.00 90.00 90.00
Space group F-43m (No. 216)
One atom of each set of equivalent atoms:
Sr: 0.000 0.000 0.000 x4
In: 0.250 0.250 0.250 x4
Mo: 0.250 0.250 0.750 x4


(ii)
Crystalline SrInMo at its relaxed geometry. Source: the Alexandria database, functional PBE.

Lattice parameters (Å, degrees): 5.2023 5.2023 3.0835 90.00 90.00 120.00
Space group P3m1 (No. 156)
One atom of each set of equivalent atoms:
Sr: 0.0000 0.0000 0.0000 x1
In: 0.6667 0.3333 0.4988 x1
Mo: 0.3333 0.6667 0.5007 x1


Most stable structure, least stable structure: (ii), (i).


(i)
Crystalline SrInMo at its relaxed geometry. Source: the Alexandria database, functional PBE.

Lattice parameters (Å, degrees): 3.084 3.084 14.897 90.00 90.00 90.00
Space group I4mm (No. 107)
One atom of each set of equivalent atoms:
Sr: 0.000 0.000 0.000 x2
In: 0.000 0.000 0.312 x2
Mo: 0.000 0.000 0.674 x2


(ii)
Crystalline SrInMo at its relaxed geometry. Source: the Alexandria database, functional PBE.

Lattice parameters (Å, degrees): 3.345 4.051 11.478 90.00 90.00 90.00
Space group Imm2 (No. 44)
One atom of each set of equivalent atoms:
Sr: 0.000 0.000 0.000 x2
In: 0.000 0.000 0.713 x2
Mo: 0.000 0.000 0.301 x2


Most stable structure, least stable structure: (ii), (i).


(i)
Crystalline Ta3InMo at its relaxed geometry. Source: the Alexandria database, functional PBE.

Lattice parameters (Å, degrees): 4.915 4.915 4.915 90.00 90.00 90.00
Space group Pm-3m (No. 221)
One atom of each set of equivalent atoms:
Ta: 0.000 0.000 0.500 x3
In: 0.000 0.000 0.000 x1
Mo: 0.500 0.500 0.500 x1


(ii)
Crystalline Ta3InMo at its relaxed geometry. Source: the Alexandria database, functional PBE.

Lattice parameters (Å, degrees): 4.851 4.851 4.851 90.00 90.00 90.00
Space group Pm-3m (No. 221)
One atom of each set of equivalent atoms:
Ta: 0.000 0.000 0.500 x3
In: 0.500 0.500 0.500 x1
Mo: 0.000 0.000 0.000 x1


Most stable structure, least stable structure: (ii), (i).